Computed, not measured: Sm3S4 after structural relaxation at the PBE level of DFT.

Computed properties:
ΔE to the lowest computed polymorph = 0.001 eV per atom
crystal system = cubic

```
data_Sm3S4
_symmetry_space_group_name_H-M 'I -4 3 d'
_symmetry_Int_Tables_number 220
_symmetry_space_group_name_Hall 'I -4bd 2c 3'
_cell_length_a 8.4801
_cell_length_b 8.4801
_cell_length_c 8.4801
_cell_angle_alpha 90.00
_cell_angle_beta 90.00
_cell_angle_gamma 90.00
loop_
_atom_site_label
_atom_site_type_symbol
_atom_site_fract_x
_atom_site_fract_y
_atom_site_fract_z
_atom_site_occupancy
Sm1 Sm 0.0000 0.2500 0.3750 1
S1 S 0.0734 0.0734 0.0734 1
```